a) ## AsCS3 (PBE)

Data for a geometry-optimized AsCS3 structure.

Cell lengths 4.1512, 4.1512, 4.1512 Å; angles 90.00, 90.00, 90.00 degrees
Last column: nearest neighbours and their distance in Å.
Space group Pm-3m (No. 221)
One atom of each set of equivalent atoms:
As 0.0000 0.0000 0.0000 [1 per cell]  12 S 2.94
C 0.5000 0.5000 0.5000 [1 per cell]  6 S 2.08
S 0.0000 0.5000 0.5000 [3 per cell]  2 C 2.08

Calculated values
- mass density (g/cm3) = 4.25


b) ## AsCS3 (PBE)

Data for a geometry-optimized AsCS3 structure.

Cell lengths 4.6901, 4.6901, 4.6901 Å; angles 90.00, 90.00, 90.00 degrees
Last column: nearest neighbours and their distance in Å.
Space group Pm-3m (No. 221)
One atom of each set of equivalent atoms:
As 0.0000 0.0000 0.0000 [1 per cell]  6 S 2.35
C 0.5000 0.5000 0.5000 [1 per cell]  12 S 3.32
S 0.0000 0.0000 0.5000 [3 per cell]  2 As 2.35

Calculated values
- mass density (g/cm3) = 2.95


Tell me which of them is the least stable. Sure, it is b).


a) ## Sb3AsC (PBE)

Data for a geometry-optimized Sb3AsC structure.

Cell lengths 4.7884, 4.7884, 4.7884 Å; angles 90.00, 90.00, 90.00 degrees
Last column: nearest neighbours and their distance in Å.
Space group Pm-3m (No. 221)
One atom of each set of equivalent atoms:
Sb 0.0000 0.0000 0.5000 [3 per cell]  2 C 2.39
As 0.5000 0.5000 0.5000 [1 per cell]  12 Sb 3.39
C 0.0000 0.0000 0.0000 [1 per cell]  6 Sb 2.39

Calculated values
- mass density (g/cm3) = 6.84


b) ## Sb3AsC (PBE)

Data for a geometry-optimized Sb3AsC structure.

Cell lengths 5.3733, 5.3733, 5.3733 Å; angles 90.00, 90.00, 90.00 degrees
Last column: nearest neighbours and their distance in Å.
Space group Pm-3m (No. 221)
One atom of each set of equivalent atoms:
Sb 0.0000 0.0000 0.5000 [3 per cell]  2 As 2.69
As 0.0000 0.0000 0.0000 [1 per cell]  6 Sb 2.69
C 0.5000 0.5000 0.5000 [1 per cell]  12 Sb 3.80

Calculated values
- mass density (g/cm3) = 4.84


Tell me which of them is the least stable. Sure, it is b).


a) ## SbAs2C2 (PBE)

Data for a geometry-optimized SbAs2C2 structure.

Cell lengths 7.5049, 7.5049, 3.1369 Å; angles 90.00, 90.00, 90.00 degrees
Last column: nearest neighbours and their distance in Å.
Space group P4/mbm (No. 127)
One atom of each set of equivalent atoms:
Sb 0.0000 0.0000 0.0000 [2 per cell]  4 C 2.66
As 0.1350 0.3650 0.5000 [4 per cell]  2 C 1.93
C 0.2411 0.2589 0.0000 [4 per cell]  2 As 1.93

Calculated values
- mass density (g/cm3) = 5.56


b) ## SbAs2C2 (PBE)

Data for a geometry-optimized SbAs2C2 structure.

Cell lengths 4.1642, 4.1642, 10.5799 Å; angles 90.00, 90.00, 90.00 degrees
Last column: nearest neighbours and their distance in Å.
Space group I4/mmm (No. 139)
One atom of each set of equivalent atoms:
Sb 0.0000 0.0000 0.0000 [2 per cell]  2 C 2.53
As 0.0000 0.5000 0.2500 [4 per cell]  4 C 2.09
C 0.0000 0.0000 0.2395 [4 per cell]  4 As 2.09

Calculated values
- mass density (g/cm3) = 5.35


Tell me which of them is the least stable. Sure, it is b).


a) ## Sb2AsC (PBE)

Data for a geometry-optimized Sb2AsC structure.

Cell lengths 6.7722, 6.7722, 6.7722 Å; angles 90.00, 90.00, 90.00 degrees
Last column: nearest neighbours and their distance in Å.
Space group Fm-3m (No. 225)
One atom of each set of equivalent atoms:
Sb 0.2500 0.2500 0.2500 [8 per cell]  4 As 2.93, 4 C 2.93
As 0.0000 0.0000 0.0000 [4 per cell]  8 Sb 2.93
C 0.0000 0.0000 0.5000 [4 per cell]  8 Sb 2.93

Calculated values
- mass density (g/cm3) = 7.07


b) ## Sb2AsC (PBE)

Data for a geometry-optimized Sb2AsC structure.

Cell lengths 6.4574, 6.4574, 8.6046 Å; angles 90.00, 90.00, 90.00 degrees
Last column: nearest neighbours and their distance in Å.
Space group I-42d (No. 122)
One atom of each set of equivalent atoms:
Sb 0.1825 0.2500 0.1250 [8 per cell]  2 C 2.27
As 0.0000 0.0000 0.5000 [4 per cell]  4 Sb 2.82
C 0.0000 0.0000 0.0000 [4 per cell]  4 Sb 2.27

Calculated values
- mass density (g/cm3) = 6.12


Tell me which of them is the least stable. Sure, it is a).


a) ## SbAs3C (PBE)

Data for a geometry-optimized SbAs3C structure.

Cell lengths 5.3015, 5.3015, 5.3015 Å; angles 90.00, 90.00, 90.00 degrees
Last column: nearest neighbours and their distance in Å.
Space group Pm-3m (No. 221)
One atom of each set of equivalent atoms:
Sb 0.0000 0.0000 0.0000 [1 per cell]  6 As 2.65
As 0.0000 0.0000 0.5000 [3 per cell]  2 Sb 2.65
C 0.5000 0.5000 0.5000 [1 per cell]  12 As 3.75

Calculated values
- mass density (g/cm3) = 4.00


b) ## SbAs3C (PBE)

Data for a geometry-optimized SbAs3C structure.

Cell lengths 4.4823, 4.4823, 4.4823 Å; angles 90.00, 90.00, 90.00 degrees
Last column: nearest neighbours and their distance in Å.
Space group Pm-3m (No. 221)
One atom of each set of equivalent atoms:
Sb 0.0000 0.0000 0.0000 [1 per cell]  12 As 3.17
As 0.0000 0.5000 0.5000 [3 per cell]  2 C 2.24
C 0.5000 0.5000 0.5000 [1 per cell]  6 As 2.24

Calculated values
- mass density (g/cm3) = 6.61


Tell me which of them is the least stable. Sure, it is a).


a) ## SbAsC3 (PBE)

Data for a geometry-optimized SbAsC3 structure.

Cell lengths 4.2500, 4.2500, 4.2500 Å; angles 90.00, 90.00, 90.00 degrees
Last column: nearest neighbours and their distance in Å.
Space group Pm-3m (No. 221)
One atom of each set of equivalent atoms:
Sb 0.0000 0.0000 0.0000 [1 per cell]  6 C 2.13
As 0.5000 0.5000 0.5000 [1 per cell]  12 C 3.01
C 0.0000 0.0000 0.5000 [3 per cell]  2 Sb 2.13

Calculated values
- mass density (g/cm3) = 5.03


b) ## SbAsC3 (PBE)

Data for a geometry-optimized SbAsC3 structure.

Cell lengths 4.0028, 4.0028, 4.0028 Å; angles 90.00, 90.00, 90.00 degrees
Last column: nearest neighbours and their distance in Å.
Space group Pm-3m (No. 221)
One atom of each set of equivalent atoms:
Sb 0.0000 0.0000 0.0000 [1 per cell]  12 C 2.83
As 0.5000 0.5000 0.5000 [1 per cell]  6 C 2.00
C 0.0000 0.5000 0.5000 [3 per cell]  2 As 2.00

Calculated values
- mass density (g/cm3) = 6.03


Tell me which of them is the least stable. Sure, it is a).